# Ta2AlSbC | Alexandria via LeMat-Bulk | PBE-GGA | optimized geometry
data_Ta2AlSbC
_chemical_formula_sum 'Ta2 Al1 Sb1 C1'
_space_group_name_H-M_alt 'P 4/m m m'
_space_group_IT_number 123
_space_group_name_Hall '-P 4 2'
_cell_length_a 5.0928
_cell_length_b 5.0928
_cell_length_c 4.9006
_cell_angle_alpha 90.00
_cell_angle_beta 90.00
_cell_angle_gamma 90.00
loop_
_atom_site_label
_atom_site_type_symbol
_atom_site_fract_x
_atom_site_fract_y
_atom_site_fract_z
Ta1 Ta 0.0000 0.5000 0.0000
Al1 Al 0.0000 0.0000 0.5000
Sb1 Sb 0.0000 0.0000 0.0000
C1 C 0.5000 0.5000 0.5000
# Formation energy from raw total energies   3.002 eV/atom
# Total energy   -5.16 eV per atom
# Density   6.8 g cm⁻³
# E above lowest polymorph   2536.3 meV/atom